A) # SrMg2Pd2 PBE relaxed
data_SrMg2Pd2
_chemical_formula_sum 'Sr2 Mg4 Pd4'
_cell_length_a 4.5713
_cell_length_b 4.5713
_cell_length_c 11.3856
_cell_angle_alpha 101.58
_cell_angle_beta 101.58
_cell_angle_gamma 90.00
_symmetry_space_group_name_H-M 'P 1'
_symmetry_Int_Tables_number 1
_symmetry_space_group_name_Hall 'P 1'
loop_
_atom_site_label
_atom_site_type_symbol
_atom_site_fract_x
_atom_site_fract_y
_atom_site_fract_z
_atom_site_occupancy
Sr1 Sr 0.3665 0.3665 0.7330 1
Pd1 Pd 0.2500 0.7500 0.5000 1
Mg1 Mg 0.5000 0.0000 0.0000 1
Mg2 Mg 0.8097 0.8097 0.6194 1
Pd2 Pd 0.9329 0.9329 0.8658 1
Pd3 Pd 0.7500 0.2500 0.5000 1
Mg3 Mg 0.0000 0.5000 0.0000 1
Sr2 Sr 0.6335 0.6335 0.2670 1
Mg4 Mg 0.1903 0.1903 0.3806 1
Pd4 Pd 0.0671 0.0671 0.1342 1
# Total moment in μB/f.u.: 0.00
# Calculated density in g cm⁻³: 5.08

B) # SrMg2Pd2 PBE relaxed
data_SrMg2Pd2
_chemical_formula_sum 'Sr1 Mg2 Pd2'
_cell_length_a 4.3478
_cell_length_b 4.3478
_cell_length_c 6.7120
_cell_angle_alpha 71.10
_cell_angle_beta 71.10
_cell_angle_gamma 90.00
_symmetry_space_group_name_H-M 'P 1'
_symmetry_Int_Tables_number 1
_symmetry_space_group_name_Hall 'P 1'
loop_
_atom_site_label
_atom_site_type_symbol
_atom_site_fract_x
_atom_site_fract_y
_atom_site_fract_z
_atom_site_occupancy
Pd1 Pd 0.6142 0.6142 0.7716 1
Mg1 Mg 0.7500 0.2500 0.5000 1
Sr1 Sr 0.0000 0.0000 0.0000 1
Pd2 Pd 0.3858 0.3858 0.2284 1
Mg2 Mg 0.2500 0.7500 0.5000 1
# Total moment in μB/f.u.: 0.00
# Calculated density in g cm⁻³: 5.14

Which is the most stable structure? B) is the most stable.

A) # SrMgPd3 PBE relaxed
data_SrMgPd3
_chemical_formula_sum 'Sr1 Mg1 Pd3'
_cell_length_a 4.8058
_cell_length_b 4.8058
_cell_length_c 4.8058
_cell_angle_alpha 90.00
_cell_angle_beta 90.00
_cell_angle_gamma 90.00
_symmetry_space_group_name_H-M 'P 1'
_symmetry_Int_Tables_number 1
_symmetry_space_group_name_Hall 'P 1'
loop_
_atom_site_label
_atom_site_type_symbol
_atom_site_fract_x
_atom_site_fract_y
_atom_site_fract_z
_atom_site_occupancy
Pd1 Pd 0.0000 0.0000 0.5000 1
Pd2 Pd 0.0000 0.5000 0.0000 1
Sr1 Sr 0.5000 0.5000 0.5000 1
Mg1 Mg 0.0000 0.0000 0.0000 1
Pd3 Pd 0.5000 0.0000 0.0000 1
# Total moment in μB/f.u.: 0.00
# Calculated density in g cm⁻³: 6.45

B) # SrMgPd3 PBE relaxed
data_SrMgPd3
_chemical_formula_sum 'Sr1 Mg1 Pd3'
_cell_length_a 5.1603
_cell_length_b 5.1603
_cell_length_c 5.1603
_cell_angle_alpha 90.00
_cell_angle_beta 90.00
_cell_angle_gamma 90.00
_symmetry_space_group_name_H-M 'P 1'
_symmetry_Int_Tables_number 1
_symmetry_space_group_name_Hall 'P 1'
loop_
_atom_site_label
_atom_site_type_symbol
_atom_site_fract_x
_atom_site_fract_y
_atom_site_fract_z
_atom_site_occupancy
Mg1 Mg 0.5000 0.5000 0.5000 1
Pd1 Pd 0.0000 0.5000 0.0000 1
Pd2 Pd 0.5000 0.0000 0.0000 1
Sr1 Sr 0.0000 0.0000 0.0000 1
Pd3 Pd 0.0000 0.0000 0.5000 1
# Total moment in μB/f.u.: 0.00
# Calculated density in g cm⁻³: 5.21

C) # SrMgPd3 PBE relaxed
data_SrMgPd3
_chemical_formula_sum 'Sr2 Mg2 Pd6'
_cell_length_a 5.9683
_cell_length_b 6.3741
_cell_length_c 6.3738
_cell_angle_alpha 120.00
_cell_angle_beta 90.00
_cell_angle_gamma 90.00
_symmetry_space_group_name_H-M 'P 1'
_symmetry_Int_Tables_number 1
_symmetry_space_group_name_Hall 'P 1'
loop_
_atom_site_label
_atom_site_type_symbol
_atom_site_fract_x
_atom_site_fract_y
_atom_site_fract_z
_atom_site_occupancy
Pd1 Pd 0.7500 0.1908 0.8093 1
Pd2 Pd 0.7500 0.1908 0.3815 1
Sr1 Sr 0.7500 0.6667 0.3334 1
Pd3 Pd 0.2500 0.8092 0.6185 1
Pd4 Pd 0.2500 0.3815 0.1907 1
Pd5 Pd 0.2500 0.8092 0.1907 1
Mg1 Mg 0.5000 0.0000 0.0000 1
Pd6 Pd 0.7500 0.6185 0.8093 1
Mg2 Mg 0.0000 0.0000 0.0000 1
Sr2 Sr 0.2500 0.3333 0.6666 1
# Total moment in μB/f.u.: 0.00
# Calculated density in g cm⁻³: 6.82

Which is the most stable structure? C) is the most stable.

A) # Sr2Mg2Pd PBE relaxed
data_Sr2Mg2Pd
_chemical_formula_sum 'Sr4 Mg4 Pd2'
_cell_length_a 7.3732
_cell_length_b 7.3732
_cell_length_c 5.5435
_cell_angle_alpha 90.00
_cell_angle_beta 90.00
_cell_angle_gamma 90.00
_symmetry_space_group_name_H-M 'P 1'
_symmetry_Int_Tables_number 1
_symmetry_space_group_name_Hall 'P 1'
loop_
_atom_site_label
_atom_site_type_symbol
_atom_site_fract_x
_atom_site_fract_y
_atom_site_fract_z
_atom_site_occupancy
Sr1 Sr 0.3203 0.1797 0.5000 1
Sr2 Sr 0.8203 0.3203 0.5000 1
Mg1 Mg 0.1465 0.3535 0.0000 1
Mg2 Mg 0.8535 0.6465 0.0000 1
Mg3 Mg 0.3535 0.8535 0.0000 1
Pd1 Pd 0.0000 0.0000 0.0000 1
Pd2 Pd 0.5000 0.5000 0.0000 1
Mg4 Mg 0.6465 0.1465 0.0000 1
Sr3 Sr 0.6797 0.8203 0.5000 1
Sr4 Sr 0.1797 0.6797 0.5000 1
# Total moment in μB/f.u.: 0.00
# Calculated density in g cm⁻³: 3.64

B) # Sr2Mg2Pd PBE relaxed
data_Sr2Mg2Pd
_chemical_formula_sum 'Sr4 Mg4 Pd2'
_cell_length_a 6.8323
_cell_length_b 7.0250
_cell_length_c 7.5662
_cell_angle_alpha 105.21
_cell_angle_beta 90.00
_cell_angle_gamma 119.10
_symmetry_space_group_name_H-M 'P 1'
_symmetry_Int_Tables_number 1
_symmetry_space_group_name_Hall 'P 1'
loop_
_atom_site_label
_atom_site_type_symbol
_atom_site_fract_x
_atom_site_fract_y
_atom_site_fract_z
_atom_site_occupancy
Sr1 Sr 0.2625 0.6944 0.8663 1
Mg1 Mg 0.9981 0.1935 0.4678 1
Mg2 Mg 0.8046 0.8065 0.0322 1
Sr2 Sr 0.7375 0.3056 0.1337 1
Mg3 Mg 0.0019 0.8065 0.5322 1
Sr3 Sr 0.4319 0.6944 0.3663 1
Mg4 Mg 0.1954 0.1935 0.9678 1
Sr4 Sr 0.5681 0.3056 0.6337 1
Pd1 Pd 0.2118 0.0000 0.2500 1
Pd2 Pd 0.7882 0.0000 0.7500 1
# Total moment in μB/f.u.: 0.00
# Calculated density in g cm⁻³: 3.62

Which is the most stable structure? B) is the most stable.

A) # Tb2MgPd3 PBE relaxed
data_Tb2MgPd3
_chemical_formula_sum 'Tb4 Mg2 Pd6'
_cell_length_a 4.8777
_cell_length_b 4.8777
_cell_length_c 11.8047
_cell_angle_alpha 90.00
_cell_angle_beta 90.00
_cell_angle_gamma 120.00
_symmetry_space_group_name_H-M 'P 1'
_symmetry_Int_Tables_number 1
_symmetry_space_group_name_Hall 'P 1'
loop_
_atom_site_label
_atom_site_type_symbol
_atom_site_fract_x
_atom_site_fract_y
_atom_site_fract_z
_atom_site_occupancy
Mg1 Mg 0.3333 0.6667 0.6647 1
Pd1 Pd 0.0000 0.0000 0.2520 1
Pd2 Pd 0.6667 0.3333 0.5753 1
Pd3 Pd 0.6667 0.3333 0.0862 1
Tb1 Tb 0.0000 0.0000 0.5000 1
Pd4 Pd 0.0000 0.0000 0.7480 1
Mg2 Mg 0.6667 0.3333 0.3353 1
Pd5 Pd 0.3333 0.6667 0.4247 1
Tb2 Tb 0.6667 0.3333 0.8206 1
Pd6 Pd 0.3333 0.6667 0.9138 1
Tb3 Tb 0.0000 0.0000 0.0000 1
Tb4 Tb 0.3333 0.6667 0.1794 1
# Total moment in μB/f.u.: 0.00
# Calculated density in g cm⁻³: 9.03

B) # Tb2MgPd3 PBE relaxed
data_Tb2MgPd3
_chemical_formula_sum 'Tb2 Mg1 Pd3'
_cell_length_a 4.3687
_cell_length_b 5.5484
_cell_length_c 6.4825
_cell_angle_alpha 115.34
_cell_angle_beta 109.69
_cell_angle_gamma 90.00
_symmetry_space_group_name_H-M 'P 1'
_symmetry_Int_Tables_number 1
_symmetry_space_group_name_Hall 'P 1'
loop_
_atom_site_label
_atom_site_type_symbol
_atom_site_fract_x
_atom_site_fract_y
_atom_site_fract_z
_atom_site_occupancy
Mg1 Mg 0.0000 0.5000 0.0000 1
Tb1 Tb 0.3179 0.8179 0.6358 1
Pd1 Pd 0.6334 0.6334 0.2668 1
Pd2 Pd 0.0000 0.0000 0.0000 1
Pd3 Pd 0.3666 0.3666 0.7332 1
Tb2 Tb 0.6821 0.1821 0.3642 1
# Total moment in μB/f.u.: 0.00
# Calculated density in g cm⁻³: 8.33

Which is the most stable structure? A) is the most stable.